A relaxed RbCaHoF6 crystal. Source: the Alexandria database, functional GGA-PBE.

a b c (Å): 8.100 8.321 8.292
angles (deg): 120.12 119.24 90.00
Last column: magnetic moment on the atom in μB.
Positions (direct):
Rb (0.942, 0.692, 0.885)  0.00
Rb (0.058, 0.308, 0.115)  0.00
Ca (0.500, 0.000, 0.500)  0.00
Ca (0.000, 0.000, 0.500)  0.00
Ho (0.500, 0.500, 0.000)  0.00
Ho (0.500, 0.000, 0.000)  0.00
F (0.441, 0.691, 0.882)  0.00
F (0.828, 0.078, 0.656)  0.06
F (0.813, 0.061, 0.236)  0.01
F (0.423, 0.675, 0.236)  0.01
F (0.423, 0.061, 0.236)  0.01
F (0.813, 0.675, 0.236)  0.01
F (0.559, 0.309, 0.118)  0.00
F (0.172, 0.922, 0.344)  0.06
F (0.187, 0.939, 0.764)  0.01
F (0.577, 0.325, 0.764)  0.01
F (0.577, 0.939, 0.764)  0.01
F (0.187, 0.325, 0.764)  0.01

Properties
Its symmetry is Imma. The crystal system is orthorhombic.


A relaxed Ca3HoTl2F12 crystal. Source: the Alexandria database, functional GGA-PBE.

a b c (Å): 8.288 8.288 8.288
angles (deg): 56.57 56.57 56.57
Last column: magnetic moment on the atom in μB.
Positions (direct):
Ca (0.500, 0.000, 0.000)  0.00
Ca (0.000, 0.500, 0.000)  0.00
Ca (0.000, 0.000, 0.500)  0.00
Ho (0.000, 0.000, 0.000)  0.00
Tl (0.578, 0.578, 0.578)  0.21
Tl (0.422, 0.422, 0.422)  0.21
F (0.358, 0.358, 0.884)  0.10
F (0.940, 0.940, 0.314)  0.02
F (0.314, 0.940, 0.940)  0.02
F (0.884, 0.358, 0.358)  0.10
F (0.940, 0.314, 0.940)  0.02
F (0.358, 0.884, 0.358)  0.10
F (0.642, 0.642, 0.116)  0.10
F (0.060, 0.060, 0.686)  0.02
F (0.686, 0.060, 0.060)  0.02
F (0.116, 0.642, 0.642)  0.10
F (0.060, 0.686, 0.060)  0.02
F (0.642, 0.116, 0.642)  0.10

Properties
Its symmetry is R-3m. The crystal system is trigonal.


A relaxed Ca2I3F crystal. Source: the Alexandria database, functional GGA-PBE.

a b c (Å): 7.093 8.981 8.981
angles (deg): 125.96 90.00 90.00
Positions (direct):
Ca (0.000, 0.283, 0.283)
Ca (0.500, 0.717, 0.717)
Ca (0.000, 0.717, 0.717)
Ca (0.500, 0.283, 0.283)
I (0.250, 0.913, 0.087)
I (0.750, 0.087, 0.913)
I (0.250, 0.900, 0.596)
I (0.750, 0.100, 0.404)
I (0.250, 0.404, 0.100)
I (0.750, 0.596, 0.900)
F (0.250, 0.472, 0.528)
F (0.750, 0.528, 0.472)

Properties
Its symmetry is Cmcm. The crystal system is orthorhombic.


A relaxed Ca2IF crystal. Source: the Alexandria database, functional GGA-PBE.

a b c (Å): 6.542 6.542 7.540
angles (deg): 64.29 64.29 90.00
Last column: magnetic moment on the atom in μB.
Positions (direct):
I (0.000, 0.000, 0.000)  0.03
I (0.750, 0.250, 0.500)  0.03
Ca (0.525, 0.125, 0.250)  0.08
Ca (0.225, 0.625, 0.250)  0.08
Ca (0.375, 0.475, 0.750)  0.09
Ca (0.875, 0.775, 0.750)  0.09
F (0.500, 0.500, 0.000)  0.02
F (0.250, 0.750, 0.500)  0.02

Properties
Its symmetry is I-42d. The crystal system is tetragonal. Its polymorph energy (0 for the lowest one) is 0.0000 eV/atom.


A relaxed CaI3F crystal. Source: the Alexandria database, functional GGA-PBE.

a b c (Å): 5.403 5.403 5.403
angles (deg): 90.00 90.00 90.00
Last column: magnetic moment on the atom in μB.
Positions (direct):
I (0.000, 0.500, 0.000)  0.13
I (0.000, 0.000, 0.500)  0.20
I (0.500, 0.000, 0.000)  0.06
Ca (0.500, 0.500, 0.500)  0.00
F (0.000, 0.000, 0.000)  0.18

Properties
Its symmetry is Pm-3m. The crystal system is cubic. Its polymorph energy (0 for the lowest one) is 0.0242 eV/atom.


A relaxed Ca2IF2 crystal. Source: the Alexandria database, functional GGA-PBE.

a b c (Å): 4.242 4.242 6.645
angles (deg): 71.39 71.39 90.00
Last column: magnetic moment on the atom in μB.
Positions (direct):
I (0.000, 0.000, 0.000)  0.04
Ca (0.346, 0.346, 0.307)  0.15
Ca (0.654, 0.654, 0.693)  0.15
F (0.750, 0.250, 0.500)  0.00
F (0.250, 0.750, 0.500)  0.00

Properties
Its symmetry is I4/mmm. The crystal system is tetragonal. Its polymorph energy (0 for the lowest one) is 0.0000 eV/atom.


| no. | volume (Å³/cell) | N(E_F) (states/eV per cell) | uncorrected formation energy (eV/atom) |
| --- | --- | --- | --- |
| 1 | 399.0 | 0.00 | -3.733 |
| 2 | 370.6 | 8.03 | -3.194 |
| 3 | 463.1 | 0.00 | -1.937 |
| 4 | 254.8 | 4.55 | -1.692 |
| 5 | 157.7 | 4.95 | -0.621 |
| 6 | 106.7 | 1.05 | -2.680 |